VASP calculation (PBE) on crystalline Ho2VSi at its relaxed geometry.

formation energy without anion corrections	0.450	eV/atom
uncorrected energy	-65.7	eV/cell

a b c (Å): 3.3616 3.3616 29.5497
angles (deg): 90.00 90.00 120.00
Space group R-3m (No. 166, hexagonal axes)
Unique sites:
Ho 0.0000 0.0000 0.0957
V 0.0000 0.0000 0.0000
Si 0.0000 0.0000 0.5000